Density functional theory data (PBE) for crystalline AcPmP at its relaxed geometry.

Unit cell a=5.039 b=5.039 c=5.039 alpha=60.00 beta=60.00 gamma=60.00
Fractional coordinates of all 3 atoms:
Ac: 0.000 0.000 0.000
Pm: 0.500 0.500 0.500
P: 0.750 0.750 0.750

Results
Formation energy = -0.725 eV per atom
Total magnetic moment = 0.00 μB per atom
Energy relative to the lowest polymorph listed for this composition = 160.4 meV/atom

***

Density functional theory data (PBE) for crystalline Ca3Sm2YS6 at its relaxed geometry.

Unit cell a=6.888 b=6.888 c=6.997 alpha=99.47 beta=99.47 gamma=119.95
Fractional coordinates of all 12 atoms:
Ca: 0.000 0.000 0.000
Ca: 0.332 0.668 0.000
Ca: 0.668 0.332 0.000
Sm: 0.166 0.834 0.500
Sm: 0.834 0.166 0.500
Y: 0.500 0.500 0.500
S: 0.088 0.417 0.250
S: 0.255 0.255 0.750
S: 0.417 0.088 0.250
S: 0.583 0.912 0.750
S: 0.745 0.745 0.250
S: 0.912 0.583 0.750

Results
ΔE_f (raw) = -2060 meV/atom
Total magnetic moment = 0.00 μB per atom

***

Density functional theory data (PBE) for crystalline LaPr2SmS4 at its relaxed geometry.

Unit cell a=7.103 b=4.070 c=7.115 alpha=90.00 beta=109.22 gamma=90.00
Fractional coordinates of all 8 atoms:
La: 0.000 0.000 0.000
Pr: 0.500 0.000 0.500
Pr: 0.500 0.500 0.000
Sm: 0.000 0.500 0.500
S: 0.244 0.000 0.743
S: 0.248 0.500 0.254
S: 0.752 0.500 0.746
S: 0.756 0.000 0.257

Results
ΔE_f (raw) = -2058 meV/atom
Total magnetic moment = 0.00 μB per atom

***

Number 1: total energy -16.4 eV for the cell shown. Number 2: total energy -71.4 eV for the cell shown. Number 3: total energy -52.2 eV for the cell shown.